[1]
Here is an optimized crystal structure of CaBe2Co2 from Alexandria via LeMat-Bulk. Energies are from GGA-PBEsol.

Summary:
As for the formation energy: 0.719 eV per formula unit.

Cell: 5.1458 5.1458 5.1458 Å, 136.38 136.38 63.39°
With the nearest neighbours (Å) after each atom.
Positions (direct):
Ca  0.0000  0.0000  0.0000  8 Be 2.91, 8 Co 2.93
Be  0.2500  0.7500  0.5000  4 Co 2.19
Be  0.7500  0.2500  0.5000  4 Co 2.19
Co  0.3724  0.3724  0.0000  4 Be 2.19, 1 Co 2.23
Co  0.6276  0.6276  0.0000  4 Be 2.19, 1 Co 2.23

***

[2]
Here is an optimized crystal structure of Cr2Ir from Alexandria via LeMat-Bulk. Energies are from GGA-PBEsol.

Summary:
As for the formation energy: -0.350 eV per formula unit.

Cell: 4.6668 4.6668 4.6668 Å, 60.00 60.00 60.00°
With the nearest neighbours (Å) after each atom.
Positions (direct):
Cr  0.0000  0.0000  0.0000  6 Cr 2.33
Cr  0.0000  0.0000  0.5000  6 Cr 2.33
Cr  0.0000  0.5000  0.0000  6 Cr 2.33
Cr  0.5000  0.0000  0.0000  6 Cr 2.33
Ir  0.3750  0.3750  0.3750  12 Cr 2.74, 4 Ir 2.86
Ir  0.6250  0.6250  0.6250  12 Cr 2.74, 4 Ir 2.86

***

[3]
Here is an optimized crystal structure of ZrRh3O from Alexandria via LeMat-Bulk. Energies are from GGA-PBEsol.

Summary:
As for the uncorrected formation energy: -0.344 eV per atom.

Cell: 4.0995 4.0995 4.0995 Å, 90.00 90.00 90.00°
With the nearest neighbours (Å) after each atom.
Positions (direct):
Zr  0.0000  0.0000  0.0000  12 Rh 2.90
Rh  0.0000  0.5000  0.5000  2 O 2.05
Rh  0.5000  0.0000  0.5000  2 O 2.05
Rh  0.5000  0.5000  0.0000  2 O 2.05
O  0.5000  0.5000  0.5000  6 Rh 2.05

***

[4]
Here is an optimized crystal structure of ZrMoPt2Br from Alexandria via LeMat-Bulk. Energies are from GGA-PBEsol.

Summary:
As for the uncorrected formation energy: 1.174 eV per atom.

Cell: 4.6300 4.6300 4.7758 Å, 90.00 90.00 90.00°
With the nearest neighbours (Å) after each atom.
Positions (direct):
Zr  0.0000  0.0000  0.0000  2 Br 2.39
Mo  0.5000  0.5000  0.0000  4 Zr 3.27, 8 Pt 3.33
Pt  0.0000  0.5000  0.5000  2 Br 2.32
Pt  0.5000  0.0000  0.5000  2 Br 2.32
Br  0.0000  0.0000  0.5000  4 Pt 2.32, 2 Zr 2.39

***

[5]
Here is an optimized crystal structure of KZrReH2 from Alexandria via LeMat-Bulk. Energies are from GGA-PBEsol.

Cell: 4.0502 4.0502 4.8396 Å, 90.00 90.00 90.00°
With the nearest neighbours (Å) after each atom.
Positions (direct):
K  0.0000  0.0000  0.0000  4 Zr 2.86, 8 H 3.16
Zr  0.5000  0.5000  0.0000  2 Re 2.42
Re  0.5000  0.5000  0.5000  4 H 2.03
H  0.0000  0.5000  0.5000  2 Re 2.03
H  0.5000  0.0000  0.5000  2 Re 2.03

***

[6]
Here is an optimized crystal structure of LaY2Zn2 from Alexandria via LeMat-Bulk. Energies are from GGA-PBEsol.

Summary:
Its energy above the most stable polymorph in this dataset is 288 meV per atom. As for the formation energy: 0.385 eV per formula unit.

Cell: 7.2746 7.2746 7.2746 Å, 143.62 143.62 52.40°
With the nearest neighbours (Å) after each atom.
Positions (direct):
La  0.0000  0.0000  0.0000  8 Y 3.60, 8 Zn 3.98
Y  0.3751  0.3751  0.0000  4 Zn 2.80
Y  0.6249  0.6249  0.0000  4 Zn 2.80
Zn  0.2500  0.7500  0.5000  4 Y 2.80
Zn  0.7500  0.2500  0.5000  4 Y 2.80

***

[7]
Here is an optimized crystal structure of K5In4 from Alexandria via LeMat-Bulk. Energies are from GGA-PBEsol.

Summary:
As for the formation energy: -0.230 eV per formula unit.

Cell: 8.4297 8.4297 8.4297 Å, 94.75 94.75 146.57°
With the nearest neighbours (Å) after each atom.
Positions (direct):
K  0.0000  0.0000  0.0000  8 K 3.74, 4 In 4.17
K  0.3235  0.3235  0.6471  4 K 3.39-3.74, 2 In 3.72
K  0.3235  0.6765  0.0000  4 K 3.39-3.74, 2 In 3.72
K  0.6765  0.3235  0.0000  4 K 3.39-3.74, 2 In 3.72
K  0.6765  0.6765  0.3529  4 K 3.39-3.74, 2 In 3.72
In  0.0000  0.3649  0.3649  5 In 3.09-3.26
In  0.0000  0.6351  0.6351  5 In 3.09-3.26
In  0.3649  0.0000  0.3649  5 In 3.09-3.26
In  0.6351  0.0000  0.6351  5 In 3.09-3.26

***

[8]
Here is an optimized crystal structure of KTlAs2 from Alexandria via LeMat-Bulk. Energies are from GGA-PBEsol.

Summary:
Its energy above the most stable polymorph in this dataset is 37 meV per atom. As for the formation energy: -0.656 eV per formula unit.

Cell: 6.5724 6.5724 6.5724 Å, 147.07 132.86 58.70°
With the nearest neighbours (Å) after each atom.
Positions (direct):
K  0.0000  0.0000  0.0000  6 As 3.43-3.45, 4 Tl 3.66-3.68, 2 K 3.73
Tl  0.2771  0.7771  0.5000  6 As 3.24-3.30
As  0.6028  0.6028  0.0000  2 As 2.49
As  0.7468  0.2468  0.5000  2 As 2.49

***

In the order shown, the computed final energy values come out to -4.9777; -10.2191; -8.0946; -6.1568; -4.8309; -4.3540; -1.9809; -3.6580 eV per atom.